Material: Tb9PrDy2
Method: DFT, PBE-GGA
State: optimized geometry

It has space group P4/mmm (No. 123), with a = 5.048 Å, b = 5.048 Å, c = 15.150 Å, α = 90.00°, β = 90.00° and γ = 90.00°. The inequivalent atoms are Tb at (0.000, 0.000, 0.000), Tb at (0.000, 0.000, 0.335), Tb at (0.000, 0.500, 0.169), Tb at (0.000, 0.500, 0.500), Pr at (0.500, 0.500, 0.000) and Dy at (0.500, 0.500, 0.335).

The calculation puts the formation energy from the elements at 20 meV per atom. The total magnetization comes out at 0.000 μB per atom. The value obtained for the relative energy among the computed polymorphs is 0 meV/atom.